Entry from Alexandria: crystalline Ti2CoGe2 at its relaxed geometry (PBE).

abc: 4.0682 13.8065 5.3576
angles: 90.00 90.00 90.00
Closest atoms and distances in Å follow each position.
Space group Cmc2_1 (No. 36)
Symmetry-distinct sites (fractional):
Ti1 0.0000 0.0036 0.0000 [4 per cell]  2 Co 2.62, 6 Ge 2.65-2.85, 2 Ti 2.68
Ti2 0.0000 0.2035 0.8079 [4 per cell]  6 Ge 2.64-2.75, 1 Co 2.81, 1 Ti 2.95
Co1 0.0000 0.4021 0.6895 [4 per cell]  4 Ge 2.37-2.47, 2 Ti 2.62
Ge1 0.0000 0.1747 0.2991 [4 per cell]  2 Co 2.37, 2 Ti 2.64
Ge2 0.0000 0.4201 0.2341 [4 per cell]  2 Co 2.45-2.47, 6 Ti 2.65-2.70

Calculated values
The calculation puts the volume at 15.046 Å³/atom. Its formation energy is -0.494 eV per atom. The calculation puts the total energy at -6.920 eV per atom.

=====

Entry from Alexandria: crystalline Tm3Si2Ni7 at its relaxed geometry (PBE).

abc: 5.0830 5.0830 23.1836
angles: 90.00 90.00 120.00
Closest atoms and distances in Å follow each position.
Space group R-3m (No. 166, hexagonal axes)
Symmetry-distinct sites (fractional):
Tm1 0.0000 0.0000 0.0000 [3 per cell]  6 Si 2.93, 12 Ni 3.12, 2 Tm 3.28
Tm2 0.0000 0.0000 0.1413 [6 per cell]  12 Ni 2.93-3.02, 4 Tm 3.16-3.28
Si1 0.0000 0.0000 0.3324 [6 per cell]  6 Ni 2.32-2.35
Ni1 0.0000 0.0000 0.5000 [3 per cell]  6 Ni 2.52
Ni2 0.0017 0.5009 0.0783 [18 per cell]  2 Si 2.32-2.35, 5 Ni 2.52-2.55

Calculated values
The calculation puts the volume at 14.409 Å³/atom. Its uncorrected formation energy is -0.6299 eV per atom. The calculation puts the total energy at -6.024 eV per atom. Its relative energy among the computed polymorphs is 0 meV per atom.

=====

Entry from Alexandria: crystalline AgIrW2 at its relaxed geometry (PBE).

abc: 6.3671 6.3671 6.3671
angles: 90.00 90.00 90.00
Closest atoms and distances in Å follow each position.
Space group Fm-3m (No. 225)
Symmetry-distinct sites (fractional):
Ag1 0.0000 0.0000 0.0000 [4 per cell]  8 W 2.76
Ir1 0.0000 0.0000 0.5000 [4 per cell]  8 W 2.76
W1 0.2500 0.2500 0.2500 [8 per cell]  4 Ir 2.76, 4 Ag 2.76

Calculated values
The calculation puts the volume at 16.133 Å³/atom. Its formation energy is 0.746 eV per atom. The calculation puts the total energy at -8.659 eV per atom. Its relative energy among the computed polymorphs is 509 meV per atom.

=====

Entry from Alexandria: crystalline EuDyGaCu at its relaxed geometry (PBE).

abc: 7.2083 7.2083 7.2083
angles: 90.00 90.00 90.00
Closest atoms and distances in Å follow each position.
Space group F-43m (No. 216)
Symmetry-distinct sites (fractional):
Eu1 0.0000 0.0000 0.0000 [4 per cell]  4 Cu 3.12, 4 Ga 3.12
Dy1 0.0000 0.0000 0.5000 [4 per cell]  4 Ga 3.12, 4 Cu 3.12
Ga1 0.2500 0.2500 0.2500 [4 per cell]  4 Dy 3.12, 4 Eu 3.12
Cu1 0.2500 0.2500 0.7500 [4 per cell]  4 Dy 3.12, 4 Eu 3.12

Calculated values
The calculation puts the volume at 23.409 Å³/atom. Its formation energy is -0.310 eV per atom. The calculation puts the total energy at -5.810 eV per atom.

=====

Entry from Alexandria: crystalline NdSc5Zn4 at its relaxed geometry (PBE).

abc: 3.3657 3.3657 18.4419
angles: 90.00 90.00 90.00
Closest atoms and distances in Å follow each position.
Space group P4/mmm (No. 123)
Symmetry-distinct sites (fractional):
Nd1 0.0000 0.0000 0.0000 [1 per cell]  4 Nd 3.37, 8 Sc 3.51
Sc1 0.5000 0.5000 0.1397 [2 per cell]  4 Zn 2.89
Sc2 0.5000 0.5000 0.3194 [2 per cell]  8 Zn 2.90-2.91
Sc3 0.5000 0.5000 0.5000 [1 per cell]  8 Zn 2.91
Zn1 0.0000 0.0000 0.2282 [2 per cell]  8 Sc 2.89-2.91
Zn2 0.0000 0.0000 0.4088 [2 per cell]  8 Sc 2.90-2.91

Calculated values
The calculation puts the volume at 20.891 Å³/atom. Its formation energy is -0.284 eV per atom. The calculation puts the total energy at -4.436 eV per atom.

=====

Entry from Alexandria: crystalline OsSOF2 at its relaxed geometry (PBE).

abc: 4.2979 4.2979 3.7213
angles: 90.00 90.00 90.00
Closest atoms and distances in Å follow each position.
Space group P4/mmm (No. 123)
Symmetry-distinct sites (fractional):
Os1 0.0000 0.0000 0.0000 [1 per cell]  2 O 1.86
S1 0.5000 0.5000 0.5000 [1 per cell]  8 F 2.84, 4 O 3.04
O1 0.0000 0.0000 0.5000 [1 per cell]  2 Os 1.86
F1 0.0000 0.5000 0.0000 [2 per cell]  2 Os 2.15

Calculated values
The calculation puts the volume at 13.748 Å³/atom. Its uncorrected formation energy is -0.2314 eV per atom. The calculation puts the total energy at -5.043 eV per atom. Its relative energy among the computed polymorphs is 0 meV per atom.